This record from Alexandria describes an optimized crystal structure of BeP2PbS. The functional is GGA-PBE.

a = 5.261 Å, b = 5.261 Å, c = 5.160 Å
α = 90.00°, β = 90.00°, γ = 90.00°
Fractional coordinates of all 5 atoms:
Be  0.000  0.000  0.000
P  0.000  0.500  0.500
P  0.500  0.000  0.500
Pb  0.500  0.500  0.500
S  0.500  0.500  0.000

- Raw formation energy: 1666 meV/atom


This record from Alexandria describes an optimized crystal structure of La3Tl. The functional is GGA-PBE.

a = 3.770 Å, b = 4.751 Å, c = 7.368 Å
α = 90.00°, β = 90.00°, γ = 90.00°
Fractional coordinates of all 4 atoms:
La  0.000  0.000  0.000
La  0.500  0.500  0.272
La  0.500  0.500  0.728
Tl  0.000  0.000  0.500

- ΔH_f (0 K): -0.208 eV/atom


Values for size of the total moment, μB/cell, ordered as above
1.757; 0.000
Values for excess energy over the best structure of this formula in the dataset, meV per atom, ordered as above
1246.5; 35.6